Here is crystalline MgSeOF2 at its relaxed geometry from the Alexandria database. Energies are from GGA-PBE. Values from VASP.

Summary:
Formation energy without anion corrections, kJ/mol of atoms: -85.72

Cell and atoms, written as Quantum ESPRESSO input:
```
&SYSTEM
  ibrav = 0, nat = 5, ntyp = 4
/
ATOMIC_SPECIES
Mg 24.30 Mg.upf
Se 78.96 Se.upf
O 16.00 O.upf
F 19.00 F.upf
CELL_PARAMETERS angstrom
4.6470 0.0000 0.0000
0.0000 4.6470 0.0000
0.0000 0.0000 3.7569
ATOMIC_POSITIONS angstrom
Mg 0.0000 0.0000 0.0000
Se 2.3235 2.3235 1.8784
O 2.3235 2.3235 0.0000
F 0.0000 2.3235 1.8784
F 2.3235 0.0000 1.8784
```